## ZrReSb2Ir (PBE-GGA)

Data for ZrReSb2Ir after structural relaxation.

Cell and atoms, written as POSCAR:
```
ZrReSb2Ir
1.0
5.396 0.000 0.000
0.000 4.868 0.000
0.000 0.000 5.396
Re Ir Zr Sb
1 1 1 2
Direct
0.500 0.500 0.500 Re
0.000 0.500 0.000 Ir
0.000 0.000 0.000 Zr
0.000 0.000 0.500 Sb
0.500 0.000 0.000 Sb
```

Properties
* raw formation energy: 840.3 kJ/mol of formula units
* DOS at the Fermi energy: 5.053 states/eV per cell